Entry 1:
Entry from Alexandria via LeMat-Bulk: a relaxed structure of InHgCBr2 (PBE-GGA).

The theoretical density comes out at 5.46 Mg/m³. For the magnetization, the calculation gives 1.27 μB per formula unit. The calculation puts the density of states at the Fermi level at 2.74 states/eV/f.u. Its uncorrected formation energy is 0.76 eV/atom.

Geometry as CIF:
```
data_InHgCBr2
_symmetry_space_group_name_H-M 'P 4/m m m'
_symmetry_Int_Tables_number 123
_symmetry_space_group_name_Hall '-P 4 2'
_cell_length_a 6.012
_cell_length_b 6.012
_cell_length_c 4.102
_cell_angle_alpha 90.00
_cell_angle_beta 90.00
_cell_angle_gamma 90.00
loop_
_atom_site_label
_atom_site_type_symbol
_atom_site_fract_x
_atom_site_fract_y
_atom_site_fract_z
_atom_site_occupancy
In1 In 0.000 0.000 0.000 1
Hg1 Hg 0.500 0.500 0.500 1
C1 C 0.500 0.500 0.000 1
Br1 Br 0.000 0.500 0.500 1
```



Entry 2:
Entry from Alexandria via LeMat-Bulk: a relaxed structure of TcPt2W (PBE-GGA).

The theoretical density comes out at 18.17 Mg/m³. For the magnetization, the calculation gives 0.00 μB per formula unit. The energy above the most stable polymorph in this dataset is 65 meV per atom. The calculation puts the density of states at the Fermi level at 3.40 states/eV/f.u. The value obtained for the formation energy is -0.64 eV/f.u.

Geometry as CIF:
```
data_TcPt2W
_symmetry_space_group_name_H-M 'C 1 m 1'
_symmetry_Int_Tables_number 8
_cell_length_a 9.280
_cell_length_b 2.726
_cell_length_c 4.914
_cell_angle_alpha 90.00
_cell_angle_beta 98.78
_cell_angle_gamma 90.00
loop_
_symmetry_equiv_pos_as_xyz
'x,y,z'
'x,-y,z'
'x+1/2,y+1/2,z'
'x+1/2,-y+1/2,z'
loop_
_atom_site_label
_atom_site_type_symbol
_atom_site_fract_x
_atom_site_fract_y
_atom_site_fract_z
_atom_site_occupancy
Tc1 Tc 0.000 0.000 0.000 1
Pt1 Pt 0.005 0.500 0.504 1
Pt2 Pt 0.245 0.500 0.237 1
W1 W 0.252 0.000 0.741 1
```



Entry 3:
Entry from Alexandria via LeMat-Bulk: a relaxed structure of CdBr5 (PBE-GGA).

The theoretical density comes out at 3.83 Mg/m³. For the magnetization, the calculation gives 0.00 μB per formula unit. The energy above the most stable polymorph in this dataset is 0 meV per atom. The calculation puts the density of states at the Fermi level at 6.39 states/eV/f.u. Its uncorrected formation energy is -0.27 eV/atom.

Geometry as CIF:
```
data_CdBr5
_symmetry_space_group_name_H-M 'C 1 m 1'
_symmetry_Int_Tables_number 8
_cell_length_a 16.225
_cell_length_b 3.855
_cell_length_c 7.376
_cell_angle_alpha 90.00
_cell_angle_beta 105.94
_cell_angle_gamma 90.00
loop_
_symmetry_equiv_pos_as_xyz
'x,y,z'
'x,-y,z'
'x+1/2,y+1/2,z'
'x+1/2,-y+1/2,z'
loop_
_atom_site_label
_atom_site_type_symbol
_atom_site_fract_x
_atom_site_fract_y
_atom_site_fract_z
_atom_site_occupancy
Cd1 Cd 0.000 0.000 0.000 1
Br1 Br 0.036 0.500 0.271 1
Br2 Br 0.038 0.500 0.775 1
Br3 Br 0.286 0.000 0.213 1
Br4 Br 0.287 0.000 0.532 1
Br5 Br 0.320 0.500 0.891 1
```



Entry 4:
Entry from Alexandria via LeMat-Bulk: a relaxed structure of SrHf4Pd3O12 (PBE-GGA).

The theoretical density comes out at 8.84 Mg/m³. For the magnetization, the calculation gives 0.00 μB per formula unit. Its uncorrected formation energy is -2.49 eV/atom.

Geometry as CIF:
```
data_SrHf4Pd3O12
_symmetry_space_group_name_H-M 'I m -3'
_symmetry_Int_Tables_number 204
_symmetry_space_group_name_Hall '-I 2 2 3'
_cell_length_a 7.900
_cell_length_b 7.900
_cell_length_c 7.900
_cell_angle_alpha 90.00
_cell_angle_beta 90.00
_cell_angle_gamma 90.00
loop_
_atom_site_label
_atom_site_type_symbol
_atom_site_fract_x
_atom_site_fract_y
_atom_site_fract_z
_atom_site_occupancy
Sr1 Sr 0.000 0.000 0.000 1
Hf1 Hf 0.250 0.250 0.250 1
Pd1 Pd 0.000 0.000 0.500 1
O1 O 0.000 0.299 0.172 1
```



Entry 5:
Entry from Alexandria via LeMat-Bulk: a relaxed structure of CsAgI2Cl (PBE-GGA).

The theoretical density comes out at 4.83 Mg/m³. For the magnetization, the calculation gives 0.00 μB per formula unit. The calculation puts the density of states at the Fermi level at 1.41 states/eV/f.u. Its uncorrected formation energy is -0.80 eV/atom.

Geometry as CIF:
```
data_CsAgI2Cl
_symmetry_space_group_name_H-M 'P 4/m m m'
_symmetry_Int_Tables_number 123
_symmetry_space_group_name_Hall '-P 4 2'
_cell_length_a 5.817
_cell_length_b 5.817
_cell_length_c 5.379
_cell_angle_alpha 90.00
_cell_angle_beta 90.00
_cell_angle_gamma 90.00
loop_
_atom_site_label
_atom_site_type_symbol
_atom_site_fract_x
_atom_site_fract_y
_atom_site_fract_z
_atom_site_occupancy
Cs1 Cs 0.000 0.000 0.000 1
Ag1 Ag 0.500 0.500 0.500 1
I1 I 0.000 0.500 0.500 1
Cl1 Cl 0.500 0.500 0.000 1
```



Entry 6:
Entry from Alexandria via LeMat-Bulk: a relaxed structure of LaAs2Ru (PBE-GGA).

The theoretical density comes out at 7.93 Mg/m³. For the magnetization, the calculation gives 0.00 μB per formula unit. The energy above the most stable polymorph in this dataset is 79 meV per atom. The calculation puts the density of states at the Fermi level at 2.49 states/eV/f.u. The value obtained for the formation energy is -3.32 eV/f.u.

Geometry as CIF:
```
data_LaAs2Ru
_symmetry_space_group_name_H-M 'R -3 m'
_symmetry_Int_Tables_number 166
_symmetry_space_group_name_Hall '-R 3 2"'
_cell_length_a 4.2645
_cell_length_b 4.2645
_cell_length_c 15.5547
_cell_angle_alpha 90.00
_cell_angle_beta 90.00
_cell_angle_gamma 120.00
loop_
_atom_site_label
_atom_site_type_symbol
_atom_site_fract_x
_atom_site_fract_y
_atom_site_fract_z
_atom_site_occupancy
La1 La 0.0000 0.0000 0.0000 1
As1 As 0.0000 0.0000 0.2179 1
Ru1 Ru 0.0000 0.0000 0.5000 1
```



Entry 7:
Entry from Alexandria via LeMat-Bulk: a relaxed structure of Li3ReIr (PBE-GGA).

The theoretical density comes out at 8.57 Mg/m³. For the magnetization, the calculation gives 0.00 μB per formula unit. The energy above the most stable polymorph in this dataset is 0 meV per atom. The calculation puts the density of states at the Fermi level at 3.62 states/eV/f.u. The value obtained for the formation energy is 7.60 eV/f.u.

Geometry as CIF:
```
data_Li3ReIr
_symmetry_space_group_name_H-M 'P m -3 m'
_symmetry_Int_Tables_number 221
_symmetry_space_group_name_Hall '-P 4 2 3'
_cell_length_a 4.262
_cell_length_b 4.262
_cell_length_c 4.262
_cell_angle_alpha 90.00
_cell_angle_beta 90.00
_cell_angle_gamma 90.00
loop_
_atom_site_label
_atom_site_type_symbol
_atom_site_fract_x
_atom_site_fract_y
_atom_site_fract_z
_atom_site_occupancy
Li1 Li 0.000 0.000 0.500 1
Re1 Re 0.500 0.500 0.500 1
Ir1 Ir 0.000 0.000 0.000 1
```



Entry 8:
Entry from Alexandria via LeMat-Bulk: a relaxed structure of HoPuPt2 (PBE-GGA).

The theoretical density comes out at 13.94 Mg/m³. For the magnetization, the calculation gives 5.15 μB per formula unit. The calculation puts the density of states at the Fermi level at 13.71 states/eV/f.u. The value obtained for the formation energy is -3.64 eV/f.u.

Geometry as CIF:
```
data_HoPuPt2
_symmetry_space_group_name_H-M 'R -3 m'
_symmetry_Int_Tables_number 166
_symmetry_space_group_name_Hall '-R 3 2"'
_cell_length_a 4.0978
_cell_length_b 4.0978
_cell_length_c 19.6310
_cell_angle_alpha 90.00
_cell_angle_beta 90.00
_cell_angle_gamma 120.00
loop_
_atom_site_label
_atom_site_type_symbol
_atom_site_fract_x
_atom_site_fract_y
_atom_site_fract_z
_atom_site_occupancy
Ho1 Ho 0.0000 0.0000 0.0000 1
Pu1 Pu 0.0000 0.0000 0.5000 1
Pt1 Pt 0.0000 0.0000 0.2489 1
```



Question: Look up the theoretical density of the seventh one.
Answer: 8.57 Mg/m³



Please write out number 4 again, unchanged.
Entry from Alexandria via LeMat-Bulk: a relaxed structure of SrHf4Pd3O12 (PBE-GGA).

The theoretical density comes out at 8.84 Mg/m³. For the magnetization, the calculation gives 0.00 μB per formula unit. Its uncorrected formation energy is -2.49 eV/atom.

Geometry as CIF:
```
data_SrHf4Pd3O12
_symmetry_space_group_name_H-M 'I m -3'
_symmetry_Int_Tables_number 204
_symmetry_space_group_name_Hall '-I 2 2 3'
_cell_length_a 7.900
_cell_length_b 7.900
_cell_length_c 7.900
_cell_angle_alpha 90.00
_cell_angle_beta 90.00
_cell_angle_gamma 90.00
loop_
_atom_site_label
_atom_site_type_symbol
_atom_site_fract_x
_atom_site_fract_y
_atom_site_fract_z
_atom_site_occupancy
Sr1 Sr 0.000 0.000 0.000 1
Hf1 Hf 0.250 0.250 0.250 1
Pd1 Pd 0.000 0.000 0.500 1
O1 O 0.000 0.299 0.172 1
```



Question: magnetization of number 1 (InHgCBr2)?
Answer: 1.27 μB per formula unit